LaPmPu2: optimized geometry, PBE-GGA.

abc: 4.944 4.944 5.013
angles: 90.00 90.00 90.00
Space group P4/mmm (No. 123)
Asymmetric unit:
La: 0.000 0.000 0.000
Pm: 0.500 0.500 0.000
Pu: 0.000 0.500 0.500

Calculated values
The calculation puts the formation energy from the elements at 0.22 eV per atom.

ZnSnNF2: optimized geometry, PBE-GGA.

abc: 4.302 4.302 4.011
angles: 90.00 90.00 90.00
Space group P4/mmm (No. 123)
Asymmetric unit:
Zn: 0.000 0.000 0.000
Sn: 0.500 0.500 0.500
N: 0.500 0.500 0.000
F: 0.000 0.500 0.500

Calculated values
The offset from the most stable computed form is 138.6 meV per atom. The value obtained for the uncorrected formation energy is -624.0 meV/atom.

TlSnSeF2: optimized geometry, PBE-GGA.

abc: 4.593 4.593 5.440
angles: 90.00 90.00 90.00
Space group P4/mmm (No. 123)
Asymmetric unit:
Tl: 0.000 0.000 0.000
Sn: 0.500 0.500 0.500
Se: 0.500 0.500 0.000
F: 0.000 0.500 0.500

Calculated values
The value obtained for the uncorrected formation energy is -1450.5 meV/atom.

ScSbIr2: optimized geometry, PBE-GGA.

abc: 4.209 4.209 7.669
angles: 90.00 90.00 90.00
Space group I4/mmm (No. 139)
Asymmetric unit:
Sc: 0.000 0.000 0.000
Sb: 0.000 0.000 0.500
Ir: 0.000 0.500 0.250

Calculated values
The value obtained for the uncorrected formation energy is -573.3 meV/atom.

NaHoO2: optimized geometry, PBE-GGA.

abc: 4.602 4.602 10.355
angles: 90.00 90.00 90.00
Space group I4_1/amd (No. 141, origin choice 2)
Asymmetric unit:
Na: 0.000 0.250 0.375
Ho: 0.000 0.250 0.875
O: 0.000 0.250 0.096

Calculated values
The value obtained for the uncorrected formation energy is -2818.1 meV/atom.

Al2AgRu: optimized geometry, PBE-GGA.

abc: 6.846 6.846 5.696
angles: 90.00 90.00 90.00
Space group I-42d (No. 122)
Asymmetric unit:
Al: 0.235 0.750 0.125
Ag: 0.000 0.000 0.500
Ru: 0.000 0.000 0.000

Calculated values
The calculation puts the formation energy from the elements at 0.15 eV per atom.

Rb3Sn2S4: optimized geometry, PBE-GGA.

abc: 14.031 11.294 8.063
angles: 90.00 92.45 90.00
Space group C2/c (No. 15)
Asymmetric unit:
Rb: 0.000 0.106 0.250
Rb: 0.117 0.366 0.515
Sn: 0.192 0.128 0.887
S: 0.131 0.334 0.075
S: 0.163 0.056 0.568

Calculated values
The value obtained for the uncorrected formation energy is -800.0 meV/atom.

DyEr2Te: optimized geometry, PBE-GGA.

abc: 3.831 3.831 7.856
angles: 90.00 90.00 90.00
Space group P4/mmm (No. 123)
Asymmetric unit:
Dy: 0.000 0.000 0.000
Er: 0.500 0.500 0.274
Te: 0.000 0.000 0.500

Calculated values
The offset from the most stable computed form is 98.7 meV per atom. The value obtained for the uncorrected formation energy is -536.6 meV/atom.

Ac7HPb4: optimized geometry, PBE-GGA.

abc: 17.665 5.613 12.023
angles: 90.00 128.63 90.00
Space group C2/m (No. 12)
Asymmetric unit:
Ac: 0.000 0.000 0.000
Ac: 0.073 0.500 0.269
Ac: 0.138 0.000 0.554
Ac: 0.210 0.500 0.856
H: 0.000 0.500 0.000
Pb: 0.077 0.000 0.789
Pb: 0.220 0.000 0.347

Calculated values
The value obtained for the total energy is -0.3123 Ry/atom.

MgTa3Cd: optimized geometry, PBE-GGA.

abc: 4.757 4.757 4.757
angles: 90.00 90.00 90.00
Space group Pm-3m (No. 221)
Asymmetric unit:
Mg: 0.000 0.000 0.000
Ta: 0.000 0.000 0.500
Cd: 0.500 0.500 0.500

Calculated values
The offset from the most stable computed form is 0.0 meV per atom. The calculation puts the formation energy from the elements at 1.79 eV per atom.

FeMoAs2Br: optimized geometry, PBE-GGA.

abc: 4.822 4.822 5.376
angles: 90.00 90.00 90.00
Space group P4/mmm (No. 123)
Asymmetric unit:
Fe: 0.000 0.000 0.000
Mo: 0.500 0.500 0.500
As: 0.000 0.500 0.500
Br: 0.500 0.500 0.000

Calculated values
The offset from the most stable computed form is 0.0 meV per atom. The value obtained for the uncorrected formation energy is 860.6 meV/atom.

MgOsS2N: optimized geometry, PBE-GGA.

abc: 4.666 4.666 3.724
angles: 90.00 90.00 90.00
Space group P4/mmm (No. 123)
Asymmetric unit:
Mg: 0.000 0.000 0.000
Os: 0.500 0.500 0.500
S: 0.000 0.500 0.000
N: 0.000 0.000 0.500

Calculated values
The offset from the most stable computed form is 1479.2 meV per atom. The value obtained for the uncorrected formation energy is 1551.8 meV/atom.

Number 1: size of the total moment 12.35 μB/cell. Number 2: size of the total moment 0.00 μB/cell. Number 3: size of the total moment 0.00 μB/cell. Number 4: size of the total moment 0.00 μB/cell. Number 5: size of the total moment 0.00 μB/cell. Number 6: size of the total moment 0.00 μB/cell. Number 7: size of the total moment 0.00 μB/cell. Number 8: size of the total moment 0.00 μB/cell. Number 9: size of the total moment 0.00 μB/cell. Number 10: size of the total moment 0.00 μB/cell. Number 11: size of the total moment 4.28 μB/cell. Number 12: size of the total moment 1.78 μB/cell.